Material: ScTaBr2
Method: DFT, PBE
State: relaxed

a = 5.563 Å, b = 5.563 Å, c = 3.335 Å
α = 104.62°, β = 104.62°, γ = 110.79°
Sites, in units of the cell vectors:
Sc 0.000 0.000 0.000
Ta 0.500 0.500 0.000
Br 0.000 0.500 0.000
Br 0.500 0.000 0.000

## Properties
- Uncorrected formation energy: 0.0608 eV per atom
- Total magnetic moment: 0.0 μB per formula unit
- Calculated volume: 86 Å³ per cell
- Energy above the most stable polymorph in this dataset: 0.793 eV/atom



Material: ScTa3Br
Method: DFT, PBE
State: relaxed

a = 4.756 Å, b = 4.756 Å, c = 4.756 Å
α = 90.00°, β = 90.00°, γ = 90.00°
Sites, in units of the cell vectors:
Sc 0.000 0.000 0.000
Ta 0.000 0.500 0.500
Ta 0.500 0.000 0.500
Ta 0.500 0.500 0.000
Br 0.500 0.500 0.500

## Properties
- Uncorrected formation energy: 1.1226 eV per atom
- Total magnetic moment: 0.0 μB per formula unit
- Calculated volume: 108 Å³ per cell
- Energy above the most stable polymorph in this dataset: 0.000 eV/atom



Material: ScTaBr2
Method: DFT, PBE
State: relaxed

a = 5.139 Å, b = 5.139 Å, c = 5.139 Å
α = 60.00°, β = 60.00°, γ = 60.00°
Sites, in units of the cell vectors:
Sc 0.000 0.000 0.000
Ta 0.750 0.750 0.750
Br 0.250 0.250 0.250
Br 0.500 0.500 0.500

## Properties
- Uncorrected formation energy: 0.6460 eV per atom
- Total magnetic moment: 5.0 μB per formula unit
- Calculated volume: 96 Å³ per cell
- Energy above the most stable polymorph in this dataset: 1.378 eV/atom



Material: ScTaBr2
Method: DFT, PBE
State: relaxed

a = 3.119 Å, b = 4.589 Å, c = 6.063 Å
α = 90.00°, β = 90.00°, γ = 90.00°
Sites, in units of the cell vectors:
Sc 0.000 0.000 0.000
Ta 0.500 0.000 0.500
Br 0.000 0.500 0.500
Br 0.500 0.500 0.000

## Properties
- Uncorrected formation energy: 0.0249 eV per atom
- Total magnetic moment: 0.0 μB per formula unit
- Calculated volume: 87 Å³ per cell
- Energy above the most stable polymorph in this dataset: 0.757 eV/atom



Material: ScTaBr2
Method: DFT, PBE
State: relaxed

a = 5.972 Å, b = 5.972 Å, c = 5.972 Å
α = 148.61°, β = 129.63°, γ = 60.56°
Sites, in units of the cell vectors:
Sc 0.000 0.000 0.000
Ta 0.251 0.751 0.500
Br 0.466 0.466 0.000
Br 0.760 0.260 0.500

## Properties
- Uncorrected formation energy: 0.0205 eV per atom
- Total magnetic moment: 0.0 μB per formula unit
- Calculated volume: 85 Å³ per cell
- Energy above the most stable polymorph in this dataset: 0.753 eV/atom



Material: ScTaBr2
Method: DFT, PBE
State: relaxed

a = 3.198 Å, b = 3.758 Å, c = 6.463 Å
α = 90.00°, β = 90.00°, γ = 90.00°
Sites, in units of the cell vectors:
Sc 0.000 0.000 0.000
Ta 0.000 0.000 0.500
Br 0.500 0.500 0.250
Br 0.500 0.500 0.750

## Properties
- Uncorrected formation energy: 0.3021 eV per atom
- Total magnetic moment: 0.0 μB per formula unit
- Calculated volume: 78 Å³ per cell
- Energy above the most stable polymorph in this dataset: 1.034 eV/atom



Material: ScTaBr2
Method: DFT, PBE
State: relaxed

a = 6.382 Å, b = 6.382 Å, c = 6.382 Å
α = 145.08°, β = 145.08°, γ = 50.22°
Sites, in units of the cell vectors:
Sc 0.000 0.000 0.000
Ta 0.250 0.750 0.500
Br 0.500 0.500 0.000
Br 0.750 0.250 0.500

## Properties
- Uncorrected formation energy: 0.3631 eV per atom
- Total magnetic moment: 0.0 μB per formula unit
- Calculated volume: 85 Å³ per cell
- Energy above the most stable polymorph in this dataset: 1.095 eV/atom



Material: YScTaBr2
Method: DFT, PBE
State: relaxed

a = 5.258 Å, b = 5.258 Å, c = 6.969 Å
α = 90.00°, β = 90.00°, γ = 90.00°
Sites, in units of the cell vectors:
Y 0.000 0.000 0.000
Sc 0.000 0.000 0.500
Ta 0.500 0.500 0.500
Br 0.000 0.500 0.000
Br 0.500 0.000 0.000

## Properties
- Uncorrected formation energy: 0.7913 eV per atom
- Total magnetic moment: 4.9 μB per formula unit
- Calculated volume: 193 Å³ per cell



Material: ScTaZn2Br
Method: DFT, PBE
State: relaxed

a = 4.855 Å, b = 4.855 Å, c = 4.848 Å
α = 90.00°, β = 90.00°, γ = 90.00°
Sites, in units of the cell vectors:
Sc 0.000 0.000 0.000
Ta 0.500 0.500 0.000
Zn 0.000 0.500 0.500
Zn 0.500 0.000 0.500
Br 0.000 0.000 0.500

## Properties
- Uncorrected formation energy: 1.0841 eV per atom
- Total magnetic moment: 1.9 μB per formula unit
- Calculated volume: 114 Å³ per cell



Material: TbScBr4
Method: DFT, PBE
State: relaxed

a = 9.390 Å, b = 9.390 Å, c = 6.823 Å
α = 103.46°, β = 103.46°, γ = 131.41°
Sites, in units of the cell vectors:
Tb 0.195 0.805 0.750
Tb 0.805 0.195 0.250
Sc 0.302 0.698 0.250
Sc 0.698 0.302 0.750
Br 0.067 0.426 0.761
Br 0.181 0.345 0.256
Br 0.345 0.181 0.756
Br 0.426 0.067 0.261
Br 0.574 0.933 0.739
Br 0.655 0.819 0.244
Br 0.819 0.655 0.744
Br 0.933 0.574 0.239

## Properties
- Uncorrected formation energy: -1.4798 eV per atom
- Total magnetic moment: 0.0 μB per formula unit
- Calculated volume: 372 Å³ per cell



Material: Tb2ScBr
Method: DFT, PBE
State: relaxed

a = 11.373 Å, b = 11.373 Å, c = 11.373 Å
α = 17.29°, β = 17.29°, γ = 17.29°
Sites, in units of the cell vectors:
Tb 0.096 0.096 0.096
Tb 0.904 0.904 0.904
Sc 0.000 0.000 0.000
Br 0.500 0.500 0.500

## Properties
- Uncorrected formation energy: -0.1973 eV per atom
- Total magnetic moment: 0.5 μB per formula unit
- Calculated volume: 113 Å³ per cell



Material: TbScBr3
Method: DFT, PBE
State: relaxed

a = 9.365 Å, b = 9.365 Å, c = 11.361 Å
α = 124.18°, β = 124.18°, γ = 23.20°
Sites, in units of the cell vectors:
Tb 0.134 0.134 0.281
Tb 0.866 0.866 0.719
Sc 0.434 0.434 0.039
Sc 0.566 0.566 0.961
Br 0.034 0.034 0.755
Br 0.204 0.204 0.114
Br 0.333 0.333 0.492
Br 0.667 0.667 0.508
Br 0.796 0.796 0.886
Br 0.966 0.966 0.245

## Properties
- Uncorrected formation energy: -1.4548 eV per atom
- Total magnetic moment: 0.0 μB per formula unit
- Calculated volume: 322 Å³ per cell



Material: TbScBr6
Method: DFT, PBE
State: relaxed

a = 7.528 Å, b = 7.528 Å, c = 6.783 Å
α = 97.80°, β = 97.80°, γ = 126.44°
Sites, in units of the cell vectors:
Tb 0.000 0.000 0.000
Sc 0.500 0.500 0.500
Br 0.123 0.403 0.263
Br 0.257 0.257 0.744
Br 0.403 0.123 0.263
Br 0.597 0.877 0.737
Br 0.743 0.743 0.256
Br 0.877 0.597 0.737

## Properties
- Uncorrected formation energy: -1.7455 eV per atom
- Total magnetic moment: 0.0 μB per formula unit
- Calculated volume: 295 Å³ per cell



Material: ScTcBr2
Method: DFT, PBE
State: relaxed

a = 5.655 Å, b = 5.655 Å, c = 5.655 Å
α = 146.48°, β = 116.33°, γ = 73.91°
Sites, in units of the cell vectors:
Sc 0.000 0.000 0.000
Tc 0.500 0.500 0.000
Br 0.246 0.746 0.500
Br 0.754 0.254 0.500

## Properties
- Uncorrected formation energy: 0.1333 eV per atom
- Total magnetic moment: 2.9 μB per formula unit
- Calculated volume: 88 Å³ per cell
- Energy above the most stable polymorph in this dataset: 0.605 eV/atom



Material: ScTcBr
Method: DFT, PBE
State: relaxed

a = 6.436 Å, b = 6.436 Å, c = 6.436 Å
α = 151.62°, β = 151.62°, γ = 40.57°
Sites, in units of the cell vectors:
Sc 0.000 0.000 0.000
Tc 0.354 0.354 0.000
Br 0.667 0.667 0.000

## Properties
- Uncorrected formation energy: 0.1019 eV per atom
- Total magnetic moment: 1.6 μB per formula unit
- Calculated volume: 60 Å³ per cell
- Energy above the most stable polymorph in this dataset: 0.114 eV/atom